A geometry-optimized Li3VO3F2 structure, computed with PBE+U.

E = -53.0 eV for the cell shown
Fermi-level density of states = 0.000 states/eV/atom
density = 2.59 g cm⁻³
volume = 11.2 Å³/atom
crystal system = triclinic

Lattice parameters (Å, degrees): 3.578 5.705 5.509 85.70 108.92 108.14
Fractional coordinates of all 9 atoms:
1 Li 0.151 0.778 0.523
2 Li 0.691 0.471 0.912
3 Li 0.823 0.242 0.407
4 V 0.997 0.031 0.962
5 O 0.050 0.301 0.800
6 O 0.534 0.020 0.048
7 O 0.766 0.797 0.733
8 F 0.231 0.097 0.365
9 F 0.905 0.551 0.258